Here is a relaxed structure of MoPb3Cl2O5 from the Alexandria database. Energies are from GGA+U.

Calculated values
**Total magnetic moment**: 0.0000 μB per atom
**Raw total energy**: -5.64 eV per atom
**Crystal system**: orthorhombic

Unit cell a=5.684 b=13.383 c=11.201 alpha=90.00 beta=90.00 gamma=90.00
Space group Cmcm (No. 63)
Unique sites:
Mo 0.000 0.237 0.250 x4
Pb 0.000 0.099 0.750 x4
Pb 0.000 0.346 0.533 x8
Cl 0.000 0.000 0.000 x4
Cl 0.000 0.479 0.250 x4
O 0.000 0.108 0.250 x4
O 0.234 0.272 0.130 x16